(1)
Entry from Alexandria via LeMat-Bulk: a geometry-optimized Rb2LaCd2Se4 structure (PBE).

crystal system	monoclinic
raw formation energy	-1.1307	eV per atom

a b c (Å): 8.780 8.780 8.588
angles (deg): 112.09 112.09 28.73
Fractional positions:
Rb1 0.127 0.127 0.060
Rb2 0.873 0.873 0.940
La1 0.000 0.000 0.500
Cd1 0.312 0.312 0.488
Cd2 0.688 0.688 0.512
Se1 0.192 0.192 0.715
Se2 0.474 0.474 0.724
Se3 0.526 0.526 0.276
Se4 0.808 0.808 0.285



(2)
Entry from Alexandria via LeMat-Bulk: a geometry-optimized Rb4La3CdSe8 structure (PBE).

crystal system	monoclinic
raw formation energy	-1.4681	eV per atom

a b c (Å): 8.832 8.832 9.516
angles (deg): 117.64 117.64 59.90
Fractional positions:
Rb1 0.000 0.000 0.000
Rb2 0.000 0.500 0.000
Rb3 0.500 0.000 0.000
Rb4 0.500 0.500 0.000
La1 0.000 0.000 0.500
La2 0.000 0.500 0.500
La3 0.500 0.000 0.500
Cd1 0.500 0.500 0.500
Se1 0.234 0.234 0.703
Se2 0.240 0.730 0.700
Se3 0.268 0.268 0.299
Se4 0.270 0.760 0.300
Se5 0.730 0.240 0.700
Se6 0.732 0.732 0.701
Se7 0.760 0.270 0.300
Se8 0.766 0.766 0.297



(3)
Entry from Alexandria via LeMat-Bulk: a geometry-optimized Rb3La2CdSe6 structure (PBE).

crystal system	monoclinic
raw formation energy	-1.3551	eV per atom

a b c (Å): 7.594 7.594 8.447
angles (deg): 98.61 98.61 119.99
Fractional positions:
Rb1 0.000 0.000 0.000
Rb2 0.334 0.666 0.000
Rb3 0.666 0.334 0.000
La1 0.167 0.833 0.500
La2 0.833 0.167 0.500
Cd1 0.500 0.500 0.500
Se1 0.108 0.433 0.299
Se2 0.241 0.241 0.701
Se3 0.433 0.108 0.299
Se4 0.567 0.892 0.701
Se5 0.759 0.759 0.299
Se6 0.892 0.567 0.701